CaBiTe2: relaxed, PBE.

Summary:
Total moment in μB/cell: 0.00
Formation energy without anion corrections in eV per formula unit: -2.2
DOS at the Fermi energy in states/eV per atom: 0.56
Crystal system: tetragonal

Geometry as extended XYZ:
```
8
Lattice="6.5282 0.0000 0.0000 0.0000 6.5282 0.0000 3.2641 3.2641 8.3577" Properties=species:S:1:pos:R:3 pbc="T T T"
Te 4.9107 1.6321 2.0894
Te 4.8962 4.8817 6.2682
Te 8.1603 8.1748 6.2682
Te 1.6175 4.8962 2.0894
Bi 0.0000 0.0000 0.0000
Bi 6.5282 3.2641 4.1788
Ca 3.2641 6.5282 4.1788
Ca 3.2641 3.2641 0.0000
```

Ca3BiTe: relaxed, PBE.

Summary:
Total moment in μB/cell: 0.00
Formation energy without anion corrections in eV per formula unit: -2.6
DOS at the Fermi energy in states/eV per atom: 0.79
Crystal system: cubic

Geometry as extended XYZ:
```
5
Lattice="-5.8732 0.4979 0.8127 -0.9449 -2.3746 -5.3732 -0.1253 -5.4329 2.4230" Properties=species:S:1:pos:R:3 pbc="T T T"
Te -3.4717 -3.6548 -1.0688
Bi 0.0000 0.0000 0.0000
Ca -2.9366 0.2490 0.4064
Ca -0.4724 -1.1873 -2.6866
Ca -0.0627 -2.7164 1.2115
```

CaBi3Te: relaxed, PBE.

Summary:
Total moment in μB/cell: 0.00
Formation energy without anion corrections in eV per formula unit: 2.9
DOS at the Fermi energy in states/eV per atom: 1.37
Crystal system: cubic

Geometry as extended XYZ:
```
5
Lattice="-0.9004 4.1192 4.0439 0.2797 -4.0569 4.1947 5.7657 0.8401 0.4280" Properties=species:S:1:pos:R:3 pbc="T T T"
Bi 2.8828 0.4201 0.2140
Bi -0.4502 2.0596 2.0220
Bi 0.1399 -2.0284 2.0974
Te 2.5725 0.4512 4.3333
Ca 0.0000 0.0000 0.0000
```

Ca3BiTe: relaxed, PBE.

Summary:
Total moment in μB/cell: 0.00
Formation energy without anion corrections in eV per formula unit: -5.3
DOS at the Fermi energy in states/eV per atom: 0.00
Crystal system: monoclinic

Geometry as extended XYZ:
```
20
Lattice="-3.4149 6.3119 5.2323 -7.3549 -0.1942 -4.5696 -2.5846 -7.2303 4.4632" Properties=species:S:1:pos:R:3 pbc="T T T"
Ca -6.3124 2.7142 5.4370
Ca -7.8155 -2.0240 3.0540
Ca -7.5714 -6.0864 2.8297
Ca -10.6554 4.6937 1.9425
Ca -7.0420 -3.8268 -0.3111
Ca -10.4028 0.6327 1.7046
Ca -5.5389 0.9114 2.0720
Ca -5.7831 4.9737 2.2963
Ca -2.9516 -1.7453 3.4213
Ca -7.9106 2.9354 -0.2080
Ca -2.6990 -5.8064 3.1835
Ca -5.4438 -4.0480 5.3339
Bi -7.6182 -0.4674 -0.0301
Bi -10.6081 -0.9251 4.8017
Bi -5.7362 -0.6452 5.1561
Bi -2.7463 -0.1875 0.3243
Te -9.6955 -4.0884 1.2774
Te -8.1515 2.7540 2.8810
Te -3.6590 2.9758 3.8485
Te -5.2029 -3.8666 2.2450
```

CaBiTe2: relaxed, PBE.

Summary:
Total moment in μB/cell: 0.00
Formation energy without anion corrections in eV per formula unit: -2.5
DOS at the Fermi energy in states/eV per atom: 0.90
Crystal system: trigonal

Geometry as extended XYZ:
```
4
Lattice="4.6209 0.0000 0.0000 2.3105 4.0018 0.0000 2.3105 1.3339 7.5565" Properties=species:S:1:pos:R:3 pbc="T T T"
Te 2.3105 1.3339 1.8040
Te 2.3105 1.3339 5.7074
Ca 4.6209 2.6679 3.8028
Bi 4.6209 2.6679 0.0206
```

Ca3BiTe4: relaxed, PBE.

Summary:
Total moment in μB/cell: 0.00
Formation energy without anion corrections in eV per formula unit: -8.5
DOS at the Fermi energy in states/eV per atom: 0.29
Crystal system: orthorhombic

Geometry as extended XYZ:
```
16
Lattice="-1.1014 6.4542 0.6404 -9.0954 -1.3549 -1.9871 -2.0616 -1.3815 10.3783" Properties=species:S:1:pos:R:3 pbc="T T T"
Bi -9.0868 1.8429 3.9261
Bi -1.7314 0.1667 -0.3217
Te -2.2187 3.4027 0.0122
Te -8.2159 1.6978 6.9059
Te -8.5993 -1.3942 3.5920
Te -4.6646 -1.0661 7.0771
Te -3.0407 2.7458 5.2474
Te -7.7782 -0.7318 -1.6426
Te -7.1538 2.4095 1.5595
Te -3.6650 -0.3962 2.0453
Ca -8.3462 2.4934 -1.3260
Ca -5.1713 2.1629 7.4598
Ca -2.4730 -0.4780 4.9310
Ca -7.7093 -1.5302 6.5234
Ca -6.6673 -0.8319 1.2780
Ca -4.1517 2.8462 2.3268
```

CaBi2Te2: relaxed, PBE.

Summary:
Total moment in μB/cell: 0.00
Formation energy without anion corrections in eV per formula unit: -1.9
DOS at the Fermi energy in states/eV per atom: 0.53
Crystal system: tetragonal

Geometry as extended XYZ:
```
10
Lattice="-2.7129 -3.0632 7.3338 -0.7880 -7.6074 -3.4690 4.4221 -1.0113 1.2134" Properties=species:S:1:pos:R:3 pbc="T T T"
Te -0.7228 -3.0275 0.1107
Te -1.5464 -7.3164 -0.4622
Te -1.9544 -3.3542 4.3270
Te -2.7781 -7.6431 3.7541
Bi -0.2344 -8.9341 2.4940
Bi 1.1556 -2.7479 2.5842
Bi -0.3483 -5.7039 5.6016
Bi 1.2696 -5.9781 -0.5234
Ca -1.7504 -5.3353 1.9324
Ca 0.0000 0.0000 0.0000
```

Ca2Bi2Te: relaxed, PBE.

Summary:
Total moment in μB/cell: 0.00
Formation energy without anion corrections in eV per formula unit: -3.6
DOS at the Fermi energy in states/eV per atom: 0.45
Crystal system: tetragonal

Geometry as extended XYZ:
```
10
Lattice="-4.0698 -2.2992 6.8776 6.1328 -5.3001 1.8573 2.2706 3.5092 2.5168" Properties=species:S:1:pos:R:3 pbc="T T T"
Bi 3.9537 -4.3187 7.1841
Bi -0.1269 -2.2416 7.9692
Bi 0.3799 0.2287 4.0676
Bi 4.4604 -1.8484 3.2824
Te 1.0315 -3.7996 4.3674
Te 0.0000 0.0000 0.0000
Ca 0.7429 -5.4629 6.9470
Ca 3.7448 -5.1490 3.8010
Ca -1.6818 -2.4503 4.9339
Ca 1.3201 -2.1364 1.7879
```

- Which of these has the highest DOS at the Fermi energy?
  CaBi3Te